1.
Ca2NbCdO6: relaxed, GGA-PBE.

The structure belongs to space group R3 (No. 146, hexagonal axes); the cell edges are 5.7047, 5.7047 and 14.9341 Å and the angles 90.00°, 90.00° and 120.00°. The asymmetric unit holds Ca at (0.0000, 0.0000, 0.0000), Ca at (0.0000, 0.0000, 0.4974), Nb at (0.0000, 0.0000, 0.7175), Cd at (0.0000, 0.0000, 0.2197), O at (0.0081, 0.3940, 0.4433) and O at (0.0773, 0.6950, 0.2861).

The spin magnetization comes out at 3.10 μB per cell. The calculation puts the total energy at -6.773 eV/atom. For the density of states at the Fermi level, the calculation gives 14.7 states/eV/cell.

2.
VTc2Ge: relaxed, GGA-PBE.

The structure belongs to space group R-3m (No. 166, hexagonal axes); the cell edges are 2.8395, 2.8395 and 25.9719 Å and the angles 90.00°, 90.00° and 120.00°. The asymmetric unit holds V at (0.0000, 0.0000, 0.0000), Tc at (0.0000, 0.0000, 0.0886) and Ge at (0.0000, 0.0000, 0.5000).

The spin magnetization comes out at 0.00 μB per cell. The energy of formation from the pure elements comes out at 0.39 eV/atom. For the density of states at the Fermi level, the calculation gives 10.1 states/eV/cell.

3.
PrGaNiH: relaxed, GGA-PBE.

The structure belongs to space group P3m1 (No. 156); the cell edges are 4.1795, 4.1795 and 4.3408 Å and the angles 90.00°, 90.00° and 120.00°. The asymmetric unit holds Pr at (0.0000, 0.0000, 0.0000), Ga at (0.3333, 0.6667, 0.4881), Ni at (0.6667, 0.3333, 0.5523) and H at (0.6667, 0.3333, 0.9213).

The spin magnetization comes out at 0.00 μB per cell. The calculation puts the total energy at -4.734 eV/atom. For the density of states at the Fermi level, the calculation gives 3.4 states/eV/cell.